Record 1
An optimized crystal structure of LiHfCoGe, computed with PBE-GGA.

```
data_LiHfCoGe
_space_group_name_H-M_alt 'P 1'
_space_group_IT_number 1
_cell_length_a 4.3164
_cell_length_b 4.3164
_cell_length_c 4.3164
_cell_angle_alpha 60.00
_cell_angle_beta 60.00
_cell_angle_gamma 60.00
loop_
_space_group_symop_operation_xyz
'x,y,z'
loop_
_atom_site_label
_atom_site_type_symbol
_atom_site_fract_x
_atom_site_fract_y
_atom_site_fract_z
_atom_site_occupancy
Co1 Co 0.7500 0.7500 0.7500 1
Ge1 Ge 0.0000 0.0000 0.0000 1
Hf1 Hf 0.2500 0.2500 0.2500 1
Li1 Li 0.5000 0.5000 0.5000 1
```

Properties
- total moment (μB per atom) = 0.000
- offset from the most stable computed form (meV/atom) = 368.9

***

Record 2
An optimized crystal structure of Li2HfCo2NiGe2, computed with PBE-GGA.

```
data_Li2HfCo2NiGe2
_space_group_name_H-M_alt 'P 1'
_space_group_IT_number 1
_cell_length_a 4.1448
_cell_length_b 4.1448
_cell_length_c 5.9232
_cell_angle_alpha 90.00
_cell_angle_beta 90.00
_cell_angle_gamma 90.00
loop_
_space_group_symop_operation_xyz
'x,y,z'
loop_
_atom_site_label
_atom_site_type_symbol
_atom_site_fract_x
_atom_site_fract_y
_atom_site_fract_z
_atom_site_occupancy
Co1 Co 0.0000 0.5000 0.2513 1
Co2 Co 0.5000 0.0000 0.7487 1
Ge1 Ge 0.0000 0.0000 0.0000 1
Ge2 Ge 0.5000 0.5000 0.5000 1
Hf1 Hf 0.0000 0.0000 0.5000 1
Li1 Li 0.5000 0.0000 0.2136 1
Li2 Li 0.0000 0.5000 0.7864 1
Ni1 Ni 0.5000 0.5000 0.0000 1
```

Properties
- total moment (μB per atom) = 0.033
- raw total energy (eV per atom) = -5.64

***

Record 3
An optimized crystal structure of Li2HfZrCo2Ge2, computed with PBE-GGA.

```
data_Li2HfZrCo2Ge2
_space_group_name_H-M_alt 'P 1'
_space_group_IT_number 1
_cell_length_a 4.2625
_cell_length_b 4.2625
_cell_length_c 6.0282
_cell_angle_alpha 90.00
_cell_angle_beta 90.00
_cell_angle_gamma 90.00
loop_
_space_group_symop_operation_xyz
'x,y,z'
loop_
_atom_site_label
_atom_site_type_symbol
_atom_site_fract_x
_atom_site_fract_y
_atom_site_fract_z
_atom_site_occupancy
Co1 Co 0.5000 0.0000 0.2491 1
Co2 Co 0.0000 0.5000 0.7509 1
Ge1 Ge 0.5000 0.5000 0.0000 1
Ge2 Ge 0.0000 0.0000 0.5000 1
Hf1 Hf 0.0000 0.0000 0.0000 1
Li1 Li 0.0000 0.5000 0.2500 1
Li2 Li 0.5000 0.0000 0.7500 1
Zr1 Zr 0.5000 0.5000 0.5000 1
```

Properties
- total moment (μB per atom) = 0.000
- raw total energy (eV per atom) = -6.24

***

Record 4
An optimized crystal structure of LuHfCoGe, computed with PBE-GGA.

```
data_LuHfCoGe
_space_group_name_H-M_alt 'P 1'
_space_group_IT_number 1
_cell_length_a 4.6528
_cell_length_b 4.6528
_cell_length_c 4.6528
_cell_angle_alpha 60.00
_cell_angle_beta 60.00
_cell_angle_gamma 60.00
loop_
_space_group_symop_operation_xyz
'x,y,z'
loop_
_atom_site_label
_atom_site_type_symbol
_atom_site_fract_x
_atom_site_fract_y
_atom_site_fract_z
_atom_site_occupancy
Co1 Co 0.7500 0.7500 0.7500 1
Ge1 Ge 0.0000 0.0000 0.0000 1
Hf1 Hf 0.5000 0.5000 0.5000 1
Lu1 Lu 0.2500 0.2500 0.2500 1
```

Properties
- total moment (μB per atom) = 0.005
- offset from the most stable computed form (meV/atom) = 0.0

***

Record 5
An optimized crystal structure of HfMgCoGe, computed with PBE-GGA.

```
data_HfMgCoGe
_space_group_name_H-M_alt 'P 1'
_space_group_IT_number 1
_cell_length_a 4.4503
_cell_length_b 4.4503
_cell_length_c 4.4503
_cell_angle_alpha 60.00
_cell_angle_beta 60.00
_cell_angle_gamma 60.00
loop_
_space_group_symop_operation_xyz
'x,y,z'
loop_
_atom_site_label
_atom_site_type_symbol
_atom_site_fract_x
_atom_site_fract_y
_atom_site_fract_z
_atom_site_occupancy
Co1 Co 0.7500 0.7500 0.7500 1
Ge1 Ge 0.0000 0.0000 0.0000 1
Hf1 Hf 0.5000 0.5000 0.5000 1
Mg1 Mg 0.2500 0.2500 0.2500 1
```

Properties
- total moment (μB per atom) = 0.008
- offset from the most stable computed form (meV/atom) = 0.0

***

Record 6
An optimized crystal structure of HfMgCoGe, computed with PBE-GGA.

```
data_HfMgCoGe
_space_group_name_H-M_alt 'P 1'
_space_group_IT_number 1
_cell_length_a 4.4966
_cell_length_b 4.4966
_cell_length_c 4.4966
_cell_angle_alpha 60.00
_cell_angle_beta 60.00
_cell_angle_gamma 60.00
loop_
_space_group_symop_operation_xyz
'x,y,z'
loop_
_atom_site_label
_atom_site_type_symbol
_atom_site_fract_x
_atom_site_fract_y
_atom_site_fract_z
_atom_site_occupancy
Co1 Co 0.7500 0.7500 0.7500 1
Ge1 Ge 0.0000 0.0000 0.0000 1
Hf1 Hf 0.2500 0.2500 0.2500 1
Mg1 Mg 0.5000 0.5000 0.5000 1
```

Properties
- total moment (μB per atom) = 0.234
- offset from the most stable computed form (meV/atom) = 112.2

***

Record 7
An optimized crystal structure of HfCoGeMo, computed with PBE-GGA.

```
data_HfCoGeMo
_space_group_name_H-M_alt 'P 1'
_space_group_IT_number 1
_cell_length_a 4.4127
_cell_length_b 4.4127
_cell_length_c 4.4127
_cell_angle_alpha 60.00
_cell_angle_beta 60.00
_cell_angle_gamma 60.00
loop_
_space_group_symop_operation_xyz
'x,y,z'
loop_
_atom_site_label
_atom_site_type_symbol
_atom_site_fract_x
_atom_site_fract_y
_atom_site_fract_z
_atom_site_occupancy
Co1 Co 0.7500 0.7500 0.7500 1
Ge1 Ge 0.0000 0.0000 0.0000 1
Hf1 Hf 0.5000 0.5000 0.5000 1
Mo1 Mo 0.2500 0.2500 0.2500 1
```

Properties
- total moment (μB per atom) = 0.228
- offset from the most stable computed form (meV/atom) = 0.0

***

Record 8
An optimized crystal structure of Hf4CoGeN2, computed with PBE-GGA.

```
data_Hf4CoGeN2
_space_group_name_H-M_alt 'P 1'
_space_group_IT_number 1
_cell_length_a 3.1824
_cell_length_b 3.1824
_cell_length_c 13.3867
_cell_angle_alpha 90.00
_cell_angle_beta 90.00
_cell_angle_gamma 120.00
loop_
_space_group_symop_operation_xyz
'x,y,z'
loop_
_atom_site_label
_atom_site_type_symbol
_atom_site_fract_x
_atom_site_fract_y
_atom_site_fract_z
_atom_site_occupancy
Co1 Co 0.0000 0.0000 0.0000 1
Ge1 Ge 0.6667 0.3333 0.5000 1
Hf1 Hf 0.6667 0.3333 0.1437 1
Hf2 Hf 0.0000 0.0000 0.3394 1
Hf3 Hf 0.0000 0.0000 0.6606 1
Hf4 Hf 0.6667 0.3333 0.8563 1
N1 N 0.3333 0.6667 0.2428 1
N2 N 0.3333 0.6667 0.7572 1
```

Properties
- total moment (μB per atom) = 0.001
- raw total energy (eV per atom) = -9.53

***

Record 9
An optimized crystal structure of HfNbCoGe, computed with PBE-GGA.

```
data_HfNbCoGe
_space_group_name_H-M_alt 'P 1'
_space_group_IT_number 1
_cell_length_a 4.4965
_cell_length_b 4.4965
_cell_length_c 4.4965
_cell_angle_alpha 60.00
_cell_angle_beta 60.00
_cell_angle_gamma 60.00
loop_
_space_group_symop_operation_xyz
'x,y,z'
loop_
_atom_site_label
_atom_site_type_symbol
_atom_site_fract_x
_atom_site_fract_y
_atom_site_fract_z
_atom_site_occupancy
Co1 Co 0.7500 0.7500 0.7500 1
Ge1 Ge 0.0000 0.0000 0.0000 1
Hf1 Hf 0.5000 0.5000 0.5000 1
Nb1 Nb 0.2500 0.2500 0.2500 1
```

Properties
- total moment (μB per atom) = 0.489
- offset from the most stable computed form (meV/atom) = 0.0

***

Record 10
An optimized crystal structure of HfCoGePd, computed with PBE-GGA.

```
data_HfCoGePd
_space_group_name_H-M_alt 'P 1'
_space_group_IT_number 1
_cell_length_a 4.4610
_cell_length_b 4.4610
_cell_length_c 4.4610
_cell_angle_alpha 60.00
_cell_angle_beta 60.00
_cell_angle_gamma 60.00
loop_
_space_group_symop_operation_xyz
'x,y,z'
loop_
_atom_site_label
_atom_site_type_symbol
_atom_site_fract_x
_atom_site_fract_y
_atom_site_fract_z
_atom_site_occupancy
Co1 Co 0.7500 0.7500 0.7500 1
Ge1 Ge 0.0000 0.0000 0.0000 1
Hf1 Hf 0.2500 0.2500 0.2500 1
Pd1 Pd 0.5000 0.5000 0.5000 1
```

Properties
- total moment (μB per atom) = 0.312
- offset from the most stable computed form (meV/atom) = 159.5

***

Record 11
An optimized crystal structure of HfCoGePd, computed with PBE-GGA.

```
data_HfCoGePd
_space_group_name_H-M_alt 'P 1'
_space_group_IT_number 1
_cell_length_a 4.4167
_cell_length_b 4.4167
_cell_length_c 4.4167
_cell_angle_alpha 60.00
_cell_angle_beta 60.00
_cell_angle_gamma 60.00
loop_
_space_group_symop_operation_xyz
'x,y,z'
loop_
_atom_site_label
_atom_site_type_symbol
_atom_site_fract_x
_atom_site_fract_y
_atom_site_fract_z
_atom_site_occupancy
Co1 Co 0.7500 0.7500 0.7500 1
Ge1 Ge 0.0000 0.0000 0.0000 1
Hf1 Hf 0.5000 0.5000 0.5000 1
Pd1 Pd 0.2500 0.2500 0.2500 1
```

Properties
- total moment (μB per atom) = 0.005
- offset from the most stable computed form (meV/atom) = 0.0

***

Record 12
An optimized crystal structure of HfCoReGe, computed with PBE-GGA.

```
data_HfCoReGe
_space_group_name_H-M_alt 'P 1'
_space_group_IT_number 1
_cell_length_a 4.3881
_cell_length_b 4.3881
_cell_length_c 4.3881
_cell_angle_alpha 60.00
_cell_angle_beta 60.00
_cell_angle_gamma 60.00
loop_
_space_group_symop_operation_xyz
'x,y,z'
loop_
_atom_site_label
_atom_site_type_symbol
_atom_site_fract_x
_atom_site_fract_y
_atom_site_fract_z
_atom_site_occupancy
Co1 Co 0.7500 0.7500 0.7500 1
Ge1 Ge 0.0000 0.0000 0.0000 1
Hf1 Hf 0.5000 0.5000 0.5000 1
Re1 Re 0.2500 0.2500 0.2500 1
```

Properties
- total moment (μB per atom) = 0.000
- offset from the most stable computed form (meV/atom) = 0.0